The following is a GGA+U calculation of NaMoPbF6 after structural relaxation, from the Alexandria database. Values from VASP.

Summary:
Size of the total moment in μB per atom: 0.333
VASP energy in eV per atom: -5.18
SG: P-31c, No. 163

Quantum ESPRESSO input file:
```
&SYSTEM
  ibrav = 0, nat = 18, ntyp = 4
/
ATOMIC_SPECIES
Na 22.99 Na.upf
Mo 95.94 Mo.upf
Pb 207.20 Pb.upf
F 19.00 F.upf
CELL_PARAMETERS angstrom
5.829 0.000 0.000
-2.915 5.048 0.000
0.000 0.000 10.290
ATOMIC_POSITIONS angstrom
Na 0.000 3.365 2.573
Na 2.915 1.683 7.718
Mo 0.000 3.365 7.718
Mo 2.915 1.683 2.573
Pb 0.000 0.000 0.000
Pb 0.000 0.000 5.145
F -0.903 1.846 6.567
F -1.767 3.343 8.869
F 0.903 1.846 8.869
F -0.864 4.907 6.567
F 2.050 0.141 1.422
F 1.147 1.705 3.723
F 1.767 3.343 6.567
F 0.864 4.907 8.869
F 3.779 0.141 3.723
F 2.012 3.202 1.422
F 4.682 1.705 1.422
F 3.817 3.202 3.723
```